Below is a geometry-optimized Sc4CoSi7 structure, with properties calculated at the GGA-PBE level.

Cell and atoms, written as CIF:
```
data_Sc4CoSi7
_chemical_formula_sum 'Sc4 Co1 Si7'
_symmetry_space_group_name_H-M 'P m m 2'
_symmetry_Int_Tables_number 25
_symmetry_space_group_name_Hall 'P 2 -2'
_cell_length_a 3.6367
_cell_length_b 3.8423
_cell_length_c 13.9935
_cell_angle_alpha 90.00
_cell_angle_beta 90.00
_cell_angle_gamma 90.00
loop_
_atom_site_label
_atom_site_type_symbol
_atom_site_fract_x
_atom_site_fract_y
_atom_site_fract_z
Sc1 Sc 0.0000 0.0000 0.0000
Sc2 Sc 0.0000 0.5000 0.4839
Sc3 Sc 0.5000 0.0000 0.1802
Sc4 Sc 0.5000 0.5000 0.6952
Co1 Co 0.5000 0.5000 0.9915
Si1 Si 0.0000 0.0000 0.3365
Si2 Si 0.0000 0.0000 0.6401
Si3 Si 0.0000 0.5000 0.1276
Si4 Si 0.0000 0.5000 0.8563
Si5 Si 0.5000 0.0000 0.5290
Si6 Si 0.5000 0.0000 0.8543
Si7 Si 0.5000 0.5000 0.3262
```

Summary:
Calculated total energy in eV for the cell shown: -76.05
ΔE_f (raw) in eV per formula unit: -5.66